Compound: La2Sm2Tm3
Source: the Alexandria database
Functional: GGA-PBE
Structure: optimized geometry

```
14
Lattice="6.081 0.000 0.000 0.000 12.686 0.000 -0.934 0.000 6.177" Properties=species:S:1:pos:R:3 pbc="T T T"
La 0.515 2.155 0.099
La 0.049 4.188 3.187
La 5.099 8.498 2.990
La 4.632 10.531 6.079
Sm 2.108 8.650 1.260
Sm 1.641 10.379 4.349
Sm 3.506 2.307 1.828
Sm 3.039 4.036 4.917
Tm -0.467 0.000 3.089
Tm 0.000 6.343 0.000
Tm 2.086 7.123 4.531
Tm 2.553 11.906 1.442
Tm 2.594 0.780 4.735
Tm 3.061 5.563 1.647
```

Output
As for the formation energy: 0.13 eV/atom.